# ReAgMo2

A relaxed structure of ReAgMo2 (PBE-GGA, the Alexandria database).

The formation energy is 0.454 eV/atom. The calculation puts the uncorrected energy at -35.1 eV per cell. The value obtained for the volume is 16.17 A^3/atom. For the energy relative to the lowest polymorph listed for this composition, the calculation gives 152 meV/atom. Its crystal system is orthorhombic.

The structure belongs to space group Pmm2 (No. 25); the cell edges are 2.7748, 4.1072 and 5.6768 Å and the angles 90.00°, 90.00° and 90.00°. The asymmetric unit holds Re at (0.0000, 0.0000, 0.0000), Ag at (0.5000, 0.5000, 0.2816), Mo at (0.0000, 0.0000, 0.5480) and Mo at (0.5000, 0.5000, 0.7913).